This record from OQMD via LeMat-Bulk describes an optimized crystal structure of HoTlCoO3. The functional is PBE+U.

Cell and atoms, written as CIF:
```
data_HoTlCoO3
_chemical_formula_sum 'Ho2 Tl2 Co2 O6'
_cell_length_a 8.235
_cell_length_b 8.235
_cell_length_c 7.481
_cell_angle_alpha 90.00
_cell_angle_beta 90.00
_cell_angle_gamma 157.99
_symmetry_space_group_name_H-M 'P 1'
_symmetry_Int_Tables_number 1
loop_
_symmetry_equiv_pos_as_xyz
'x,y,z'
loop_
_atom_site_label
_atom_site_fract_x
_atom_site_fract_y
_atom_site_fract_z
Ho1 0.000 0.000 0.000
Ho2 0.000 0.000 0.500
Tl1 0.359 0.641 0.750
Tl2 0.641 0.359 0.250
Co1 0.347 0.653 0.250
Co2 0.653 0.347 0.750
O1 0.124 0.876 0.584
O2 0.124 0.876 0.916
O3 0.234 0.766 0.250
O4 0.766 0.234 0.750
O5 0.876 0.124 0.084
O6 0.876 0.124 0.416
```

Calculated values
M_tot, μB per cell: 6.9
Crystal system: orthorhombic
Raw total energy, eV/atom: -5.50
Symmetry: Cmcm, No. 63